Compound: Ga2SnHS
Source: Alexandria
Functional: PBE
Structure: relaxed

```
data_Ga2SnHS
_symmetry_space_group_name_H-M 'P 4/m m m'
_symmetry_Int_Tables_number 123
_symmetry_space_group_name_Hall '-P 4 2'
_cell_length_a 5.2541
_cell_length_b 5.2541
_cell_length_c 3.7623
_cell_angle_alpha 90.00
_cell_angle_beta 90.00
_cell_angle_gamma 90.00
loop_
_atom_site_label
_atom_site_type_symbol
_atom_site_fract_x
_atom_site_fract_y
_atom_site_fract_z
_atom_site_occupancy
Ga1 Ga 0.0000 0.5000 0.0000 1
Sn1 Sn 0.0000 0.0000 0.0000 1
H1 H 0.0000 0.0000 0.5000 1
S1 S 0.5000 0.5000 0.5000 1
```

## Properties
The total energy comes out at -16.22 eV for the cell shown.


Compound: Pu3Ga7Pt4
Source: Alexandria
Functional: PBE
Structure: relaxed

```
data_Pu3Ga7Pt4
_symmetry_space_group_name_H-M 'C 1 2/m 1'
_symmetry_Int_Tables_number 12
_cell_length_a 15.7851
_cell_length_b 4.3301
_cell_length_c 9.3339
_cell_angle_alpha 90.00
_cell_angle_beta 123.88
_cell_angle_gamma 90.00
loop_
_symmetry_equiv_pos_as_xyz
'x,y,z'
'-x,-y,-z'
'-x,y,-z'
'x,-y,z'
'x+1/2,y+1/2,z'
'-x+1/2,-y+1/2,-z'
'-x+1/2,y+1/2,-z'
'x+1/2,-y+1/2,z'
loop_
_atom_site_label
_atom_site_type_symbol
_atom_site_fract_x
_atom_site_fract_y
_atom_site_fract_z
_atom_site_occupancy
Pu1 Pu 0.0000 0.0000 0.0000 1
Pu2 Pu 0.1883 0.5000 0.6934 1
Ga1 Ga 0.0000 0.0000 0.5000 1
Ga2 Ga 0.9999 0.5000 0.2934 1
Ga3 Ga 0.1581 0.0000 0.4336 1
Ga4 Ga 0.1798 0.5000 0.0340 1
Pt1 Pt 0.1226 0.0000 0.8525 1
Pt2 Pt 0.1553 0.5000 0.2810 1
```

## Properties
The total energy comes out at -196.06 eV for the cell shown. The value obtained for the calculated formation energy is -0.6918 eV/atom.


Compound: P2IrRu
Source: Alexandria
Functional: PBE
Structure: relaxed

```
data_P2IrRu
_symmetry_space_group_name_H-M 'R -3 m'
_symmetry_Int_Tables_number 166
_symmetry_space_group_name_Hall '-R 3 2"'
_cell_length_a 2.9006
_cell_length_b 2.9006
_cell_length_c 22.1649
_cell_angle_alpha 90.00
_cell_angle_beta 90.00
_cell_angle_gamma 120.00
loop_
_atom_site_label
_atom_site_type_symbol
_atom_site_fract_x
_atom_site_fract_y
_atom_site_fract_z
_atom_site_occupancy
P1 P 0.0000 0.0000 0.2473 1
Ir1 Ir 0.0000 0.0000 0.0000 1
Ru1 Ru 0.0000 0.0000 0.5000 1
```

## Properties
The total energy comes out at -89.31 eV for the cell shown. The value obtained for the calculated formation energy is -0.2034 eV/atom.


Compound: Ca2ThInN4
Source: Alexandria
Functional: PBE
Structure: relaxed

```
data_Ca2ThInN4
_symmetry_space_group_name_H-M 'C m c m'
_symmetry_Int_Tables_number 63
_symmetry_space_group_name_Hall '-C 2c 2'
_cell_length_a 3.4608
_cell_length_b 12.0155
_cell_length_c 12.4494
_cell_angle_alpha 90.00
_cell_angle_beta 90.00
_cell_angle_gamma 90.00
loop_
_atom_site_label
_atom_site_type_symbol
_atom_site_fract_x
_atom_site_fract_y
_atom_site_fract_z
_atom_site_occupancy
Ca1 Ca 0.0000 0.1345 0.0305 1
Th1 Th 0.0000 0.3548 0.2500 1
In1 In 0.0000 0.3789 0.7500 1
N1 N 0.0000 0.0071 0.2500 1
N2 N 0.0000 0.2401 0.6339 1
N3 N 0.0000 0.5000 0.0000 1
```

## Properties
The total energy comes out at -208.94 eV for the cell shown. The calculation puts the uncorrected formation energy at -597 meV/atom.


Compound: NaGaMoP2
Source: Alexandria
Functional: PBE
Structure: relaxed

```
data_NaGaMoP2
_symmetry_space_group_name_H-M 'P 4/m m m'
_symmetry_Int_Tables_number 123
_symmetry_space_group_name_Hall '-P 4 2'
_cell_length_a 4.7026
_cell_length_b 4.7026
_cell_length_c 4.6076
_cell_angle_alpha 90.00
_cell_angle_beta 90.00
_cell_angle_gamma 90.00
loop_
_atom_site_label
_atom_site_type_symbol
_atom_site_fract_x
_atom_site_fract_y
_atom_site_fract_z
_atom_site_occupancy
Na1 Na 0.0000 0.0000 0.0000 1
Ga1 Ga 0.0000 0.0000 0.5000 1
Mo1 Mo 0.5000 0.5000 0.5000 1
P1 P 0.0000 0.5000 0.0000 1
```

## Properties
The total energy comes out at -17.41 eV for the cell shown. The value obtained for the calculated formation energy is 1.7180 eV/atom.


Compound: Nd2Ni4SnSb3
Source: Alexandria
Functional: PBE
Structure: relaxed

```
data_Nd2Ni4SnSb3
_symmetry_space_group_name_H-M 'P -4 m 2'
_symmetry_Int_Tables_number 115
_cell_length_a 4.4251
_cell_length_b 4.4251
_cell_length_c 10.2286
_cell_angle_alpha 90.00
_cell_angle_beta 90.00
_cell_angle_gamma 90.00
loop_
_symmetry_equiv_pos_as_xyz
'x,y,z'
'y,-x,-z'
'-x,-y,z'
'-y,x,-z'
'-x,y,z'
'-y,-x,-z'
'x,-y,z'
'y,x,-z'
loop_
_atom_site_label
_atom_site_type_symbol
_atom_site_fract_x
_atom_site_fract_y
_atom_site_fract_z
_atom_site_occupancy
Nd1 Nd 0.0000 0.5000 0.2382 1
Ni1 Ni 0.0000 0.0000 0.0000 1
Ni2 Ni 0.0000 0.5000 0.6286 1
Ni3 Ni 0.5000 0.5000 0.0000 1
Sn1 Sn 0.0000 0.0000 0.5000 1
Sb1 Sb 0.0000 0.5000 0.8732 1
Sb2 Sb 0.5000 0.5000 0.5000 1
```

## Properties
The total energy comes out at -55.37 eV for the cell shown. The calculation puts the uncorrected formation energy at -634 meV/atom.


Compound: CaGdMgHg
Source: Alexandria
Functional: PBE
Structure: relaxed

```
data_CaGdMgHg
_symmetry_space_group_name_H-M 'F -4 3 m'
_symmetry_Int_Tables_number 216
_symmetry_space_group_name_Hall 'F -4 2 3'
_cell_length_a 7.6076
_cell_length_b 7.6076
_cell_length_c 7.6076
_cell_angle_alpha 90.00
_cell_angle_beta 90.00
_cell_angle_gamma 90.00
loop_
_atom_site_label
_atom_site_type_symbol
_atom_site_fract_x
_atom_site_fract_y
_atom_site_fract_z
_atom_site_occupancy
Ca1 Ca 0.0000 0.0000 0.0000 1
Gd1 Gd 0.0000 0.0000 0.5000 1
Mg1 Mg 0.2500 0.2500 0.7500 1
Hg1 Hg 0.2500 0.2500 0.2500 1
```

## Properties
The total energy comes out at -76.61 eV for the cell shown. The value obtained for the calculated formation energy is -0.2933 eV/atom.


The highest total energy belongs to which entry?
Ga2SnHS


The highest total energy belongs to which entry?
Ga2SnHS


Look up the total energy of the fifth one.
-17.41 eV for the cell shown


What is the total energy in the first record?
-16.22 eV for the cell shown